Entry 1:
Below is a geometry-optimized LaSmS2 structure, with properties calculated at the PBE level.

Geometry as POSCAR:
```
LaSmS2
1.0
-0.929 -1.594 3.642
-1.726 -3.207 -1.844
5.059 -2.768 0.079
La S Sm
1 2 1
Cartesian
0.000 0.000 0.000
2.530 -1.384 0.040
-1.327 -2.400 0.899
1.202 -3.784 0.939
```

Values from the calculation:
SG ... P4/mmm
Calculated total energy ... -6.5591 eV per atom
Crystal system ... tetragonal

Entry 2:
Below is a geometry-optimized La2SmS3 structure, with properties calculated at the PBE level.

Geometry as POSCAR:
```
La2SmS3
1.0
4.097 0.000 0.000
-2.048 3.548 0.000
0.000 0.000 10.070
S Sm La
3 1 2
Cartesian
0.000 0.000 0.000
0.000 2.365 6.623
2.048 1.183 3.446
0.000 0.000 5.035
0.000 2.365 1.711
2.048 1.183 8.358
```

Values from the calculation:
SG ... P-3m1
Calculated total energy ... -6.6149 eV per atom
Crystal system ... trigonal

Entry 3:
Below is a geometry-optimized LaTb2S4 structure, with properties calculated at the PBE level.

Geometry as POSCAR:
```
LaTb2S4
1.0
5.653 3.016 2.291
-6.761 -0.541 0.547
1.498 -9.639 8.993
S Tb La
8 4 2
Cartesian
3.752 -3.767 7.465
5.533 0.464 4.470
-5.143 -7.629 7.361
-3.752 -0.883 2.020
4.142 -6.281 9.811
0.195 -3.582 5.915
-3.361 -3.397 4.365
-0.554 1.238 1.419
4.685 -1.626 5.962
-3.745 -9.075 9.169
-4.295 -5.539 5.869
4.136 1.911 2.662
-0.942 -6.425 7.951
1.332 -0.739 3.879
```

Values from the calculation:
SG ... Cmcm
Calculated total energy ... -6.5140 eV per atom
Crystal system ... orthorhombic

Entry 4:
Below is a geometry-optimized La2TbS3 structure, with properties calculated at the PBE level.

Geometry as POSCAR:
```
La2TbS3
1.0
4.061 0.000 0.000
-2.030 3.517 0.000
0.000 0.000 10.053
Tb S La
1 3 2
Cartesian
0.000 0.000 5.027
0.000 2.345 6.554
0.000 0.000 0.000
2.030 1.172 3.500
0.000 2.345 1.722
2.030 1.172 8.331
```

Values from the calculation:
SG ... P-3m1
Calculated total energy ... -6.5942 eV per atom
Crystal system ... trigonal

Entry 5:
Below is a geometry-optimized LaTbS2 structure, with properties calculated at the PBE level.

Geometry as POSCAR:
```
LaTbS2
1.0
-3.524 1.009 1.711
-1.313 -3.798 -0.464
2.107 -1.357 5.138
Tb La S
1 1 2
Cartesian
-1.365 -2.073 3.193
0.000 0.000 0.000
1.054 -0.678 2.569
-2.418 -1.394 0.624
```

Values from the calculation:
SG ... P4/mmm
Calculated total energy ... -6.5044 eV per atom
Crystal system ... tetragonal

Entry 6:
Below is a geometry-optimized LaTlZnS3 structure, with properties calculated at the PBE level.

Geometry as POSCAR:
```
LaTlZnS3
1.0
7.474 0.000 0.000
0.000 4.178 0.000
-1.415 0.000 9.577
S Zn Tl La
6 2 2 2
Cartesian
2.968 3.134 6.258
1.336 3.134 0.766
-0.701 3.134 6.280
6.761 1.045 3.297
4.723 1.045 8.811
3.092 1.045 3.319
5.891 3.134 8.441
0.169 1.045 1.136
1.521 1.045 7.986
4.539 3.134 1.591
4.834 1.045 5.593
1.226 3.134 3.984
```

Values from the calculation:
SG ... P2_1/m
Calculated total energy ... -4.7351 eV per atom
Crystal system ... monoclinic

Entry 7:
Below is a geometry-optimized LaTlZnS3 structure, with properties calculated at the PBE level.

Geometry as POSCAR:
```
LaTlZnS3
1.0
2.783 5.662 -3.730
-4.346 -5.901 -0.100
-8.637 6.309 3.134
Zn S Tl La
2 6 2 2
Cartesian
-2.663 1.910 -1.273
-7.538 4.161 0.578
0.202 6.556 -2.731
-0.517 1.839 -2.144
-9.684 4.232 1.450
-10.403 -0.485 2.037
-6.665 2.027 0.354
-3.536 4.044 -1.049
-5.495 7.475 -0.462
-4.705 -1.403 -0.233
0.000 0.000 0.000
-4.319 3.155 1.567
```

Values from the calculation:
SG ... Cmcm
Calculated total energy ... -4.7317 eV per atom
Crystal system ... orthorhombic

Entry 8:
Below is a geometry-optimized LaTlZnS3 structure, with properties calculated at the PBE level.

Geometry as POSCAR:
```
LaTlZnS3
1.0
11.344 0.000 0.000
0.000 4.236 0.000
0.000 0.000 12.279
S Tl La Zn
12 4 4 4
Cartesian
2.402 1.059 3.662
6.286 1.059 10.188
3.270 3.177 9.802
5.058 3.177 2.091
0.614 1.059 8.231
8.942 3.177 8.617
6.904 3.177 5.406
1.232 3.177 0.733
10.112 1.059 11.546
8.074 1.059 2.478
10.730 3.177 4.048
4.440 1.059 6.873
3.857 1.059 12.195
1.815 3.177 6.056
9.529 1.059 6.224
7.487 3.177 0.084
11.093 1.059 2.101
5.923 3.177 8.241
0.251 3.177 10.179
5.421 1.059 4.039
2.904 1.059 8.645
8.440 3.177 3.634
8.576 1.059 9.774
2.768 3.177 2.505
```

Values from the calculation:
SG ... Pnma
Calculated total energy ... -4.7443 eV per atom
Crystal system ... orthorhombic

Entry 9:
Below is a geometry-optimized LaTlZnS3 structure, with properties calculated at the PBE level.

Geometry as POSCAR:
```
LaTlZnS3
1.0
-5.633 3.962 4.691
-2.269 -3.644 0.353
8.243 -3.857 13.156
S Zn La Tl
12 4 4 4
Cartesian
1.451 -0.933 12.827
-2.038 -2.402 1.526
3.156 -4.998 8.100
-4.418 -0.396 6.936
-1.111 -2.606 5.373
2.378 -1.138 16.674
1.882 -1.568 9.040
-1.541 -1.971 9.160
2.920 -4.225 14.566
4.758 -3.143 11.264
-2.580 0.686 3.635
-2.815 1.459 10.100
-3.543 -0.737 9.036
2.905 -1.682 14.445
3.883 -2.802 9.164
-2.565 -1.858 3.755
5.870 -3.593 13.766
-0.260 -0.062 10.823
0.600 -3.477 7.377
-5.530 0.054 4.434
-1.391 0.230 6.569
-0.435 -2.093 15.015
0.775 -1.447 3.185
1.731 -3.769 11.631
```

Values from the calculation:
SG ... Pnma
Calculated total energy ... -4.6627 eV per atom
Crystal system ... orthorhombic

Entry 10:
Below is a geometry-optimized LaTlZnS3 structure, with properties calculated at the PBE level.

Geometry as POSCAR:
```
LaTlZnS3
1.0
8.456 -2.120 0.000
8.456 2.120 0.000
-3.263 0.000 8.324
S La Tl Zn
6 2 2 2
Cartesian
8.291 0.000 6.832
-1.632 0.000 4.162
5.358 0.000 1.492
9.737 0.000 3.334
8.456 0.000 0.000
3.913 0.000 4.991
0.981 0.000 5.306
12.668 0.000 3.019
1.932 0.000 0.712
11.717 0.000 7.612
6.149 0.000 5.870
7.501 0.000 2.454
```

Values from the calculation:
SG ... C2/m
Calculated total energy ... -4.5897 eV per atom
Crystal system ... monoclinic

Entry 11:
Below is a geometry-optimized LaTlZnS3 structure, with properties calculated at the PBE level.

Geometry as POSCAR:
```
LaTlZnS3
1.0
-10.514 9.559 1.705
-2.712 -3.081 0.546
2.002 0.213 11.145
S Tl Zn La
12 4 4 4
Cartesian
-9.026 7.985 8.068
-8.163 3.410 2.247
-3.062 3.281 11.149
-10.639 5.993 4.518
-9.996 6.747 11.961
-2.199 -1.294 5.328
-0.586 0.698 8.878
-1.229 -0.055 1.435
-5.907 4.786 5.510
-5.897 5.472 9.431
-5.328 1.219 3.965
-5.318 1.905 7.886
-8.596 6.513 1.900
-2.629 0.178 11.496
-8.720 4.869 7.708
-2.505 1.822 5.688
-12.157 7.084 3.137
-6.278 2.371 5.747
-4.947 4.320 7.649
0.932 -0.393 10.259
-5.360 3.814 2.743
-10.261 8.631 5.578
-5.865 2.878 10.653
-0.964 -1.940 7.818
```

Values from the calculation:
SG ... Pnma
Calculated total energy ... -4.7120 eV per atom
Crystal system ... orthorhombic

Entry 12:
Below is a geometry-optimized LaTmS2 structure, with properties calculated at the PBE level.

Geometry as POSCAR:
```
LaTmS2
1.0
4.010 0.000 0.000
0.000 4.010 0.000
0.000 0.000 5.665
Tm La S
1 1 2
Cartesian
2.005 2.005 2.832
0.000 0.000 0.000
2.005 2.005 0.000
0.000 0.000 2.832
```

Values from the calculation:
SG ... P4/mmm
Calculated total energy ... -6.3855 eV per atom
Crystal system ... tetragonal

> Number 11 is which compound?

LaTlZnS3